No. 1
# TlNiN2 | Alexandria | PBE | optimized geometry
data_TlNiN2
_chemical_formula_sum 'Tl2 Ni2 N4'
_cell_length_a 5.049
_cell_length_b 5.049
_cell_length_c 5.695
_cell_angle_alpha 63.69
_cell_angle_beta 63.69
_cell_angle_gamma 90.00
_space_group_name_H-M_alt 'P 1'
_space_group_IT_number 1
_space_group_name_Hall 'P 1'
loop_
_atom_site_label
_atom_site_fract_x
_atom_site_fract_y
_atom_site_fract_z
Ni1 0.500 0.500 0.000
Ni2 0.250 0.750 0.500
Tl1 0.000 0.000 0.000
Tl2 0.750 0.250 0.500
N1 0.528 0.125 0.250
N2 0.222 0.625 0.250
N3 0.375 0.472 0.750
N4 0.875 0.778 0.750
# M_tot in μB/cell: 0.0
# ΔE to the lowest computed polymorph in meV/atom: 0.0
# E_form (uncorrected) in meV per atom: 794
# Crystal system: tetragonal
# Space group: I-42d

No. 2
# Tl3NiN | Alexandria | PBE | optimized geometry
data_Tl3NiN
_chemical_formula_sum 'Tl3 Ni1 N1'
_cell_length_a 4.994
_cell_length_b 4.994
_cell_length_c 4.994
_cell_angle_alpha 90.00
_cell_angle_beta 90.00
_cell_angle_gamma 90.00
_space_group_name_H-M_alt 'P 1'
_space_group_IT_number 1
_space_group_name_Hall 'P 1'
loop_
_atom_site_label
_atom_site_fract_x
_atom_site_fract_y
_atom_site_fract_z
Ni1 0.000 0.000 0.000
Tl1 0.000 0.500 0.000
Tl2 0.000 0.000 0.500
Tl3 0.500 0.000 0.000
N1 0.500 0.500 0.500
# M_tot in μB/cell: 0.1
# ΔE to the lowest computed polymorph in meV/atom: 59.9
# E_form (uncorrected) in meV per atom: 1089
# Crystal system: cubic
# Space group: Pm-3m

No. 3
# TlNiN2 | Alexandria | PBE | optimized geometry
data_TlNiN2
_chemical_formula_sum 'Tl1 Ni1 N2'
_cell_length_a 6.242
_cell_length_b 6.242
_cell_length_c 6.242
_cell_angle_alpha 32.40
_cell_angle_beta 32.40
_cell_angle_gamma 32.40
_space_group_name_H-M_alt 'P 1'
_space_group_IT_number 1
_space_group_name_Hall 'P 1'
loop_
_atom_site_label
_atom_site_fract_x
_atom_site_fract_y
_atom_site_fract_z
Ni1 0.000 0.000 0.000
Tl1 0.500 0.500 0.500
N1 0.903 0.903 0.903
N2 0.097 0.097 0.097
# M_tot in μB/cell: 0.0
# ΔE to the lowest computed polymorph in meV/atom: 392.8
# E_form (uncorrected) in meV per atom: 1187
# Crystal system: trigonal
# Space group: R-3m

No. 4
# Tl3NiN | Alexandria | PBE | optimized geometry
data_Tl3NiN
_chemical_formula_sum 'Tl3 Ni1 N1'
_cell_length_a 4.852
_cell_length_b 4.852
_cell_length_c 4.852
_cell_angle_alpha 90.00
_cell_angle_beta 90.00
_cell_angle_gamma 90.00
_space_group_name_H-M_alt 'P 1'
_space_group_IT_number 1
_space_group_name_Hall 'P 1'
loop_
_atom_site_label
_atom_site_fract_x
_atom_site_fract_y
_atom_site_fract_z
Ni1 0.500 0.500 0.500
Tl1 0.000 0.500 0.000
Tl2 0.000 0.000 0.500
Tl3 0.500 0.000 0.000
N1 0.000 0.000 0.000
# M_tot in μB/cell: 0.0
# ΔE to the lowest computed polymorph in meV/atom: 0.0
# E_form (uncorrected) in meV per atom: 1029
# Crystal system: cubic
# Space group: Pm-3m

| no. | uncorrected energy (eV per cell) | V (Å³ per cell) |
| --- | --- | --- |
| 1 | -43.24 | 113.1 |
| 2 | -15.76 | 124.5 |
| 3 | -20.05 | 62.1 |
| 4 | -16.06 | 114.2 |